(1)
The following is a GGA-PBE calculation of an optimized crystal structure of BaYW2, from Alexandria via LeMat-Bulk.

a = 5.0125 Å, b = 3.0463 Å, c = 8.8339 Å
α = 53.35°, β = 90.00°, γ = 90.00°
Closest atoms and distances in Å follow each position.
Atoms (fractional coordinates):
W 0.0000 0.1181 0.0857  1 W 2.38
Y 0.5000 0.2500 0.2500  8 W 3.04-3.29, 2 Y 3.05
W 0.0000 0.3819 0.4143  1 W 2.38
Ba 0.5000 0.7500 0.7500  2 Ba 3.05

Output
- energy relative to the elements (eV per atom) = 0.960
- energy (eV/atom) = -7.61
- crystal system = monoclinic
- total moment (μB per atom) = 0.000
- ΔE to the lowest computed polymorph (kJ/mol of formula units) = 155
- SG = P2/m, No. 10

(2)
The following is a GGA-PBE calculation of an optimized crystal structure of Na2PmBS4, from Alexandria via LeMat-Bulk.

a = 8.1943 Å, b = 8.1943 Å, c = 8.0259 Å
α = 115.45°, β = 115.45°, γ = 98.83°
Closest atoms and distances in Å follow each position.
Atoms (fractional coordinates):
S 0.2671 0.6986 0.9642  2 Na 2.69-2.70, 2 Pm 2.71-2.83
Pm 0.0000 0.5000 0.0000  4 S 2.71-2.83
S 0.7330 0.3014 0.0358  2 Na 2.69-2.70, 2 Pm 2.71-2.83
S 0.1986 0.7670 0.4642  2 Na 2.69-2.70, 2 Pm 2.71-2.83
S 0.3582 0.3750 0.5454  1 B 1.69
S 0.6418 0.6250 0.4546  1 B 1.69
Pm 0.0000 0.5000 0.5000  4 S 2.71-2.83
Na 0.5000 0.0000 0.5000  2 S 2.70
B 0.0000 0.0000 0.0000  2 S 1.69
S 0.8014 0.2330 0.5357  2 Na 2.69-2.70, 2 Pm 2.71-2.83
S 0.8750 0.8582 0.0454  1 B 1.69
Na 0.5000 0.5000 0.0000  4 S 2.69-2.91
Na 0.5000 0.0000 0.0000  2 S 2.70
B 0.5000 0.5000 0.5000  2 S 1.69
Na 0.0000 0.0000 0.5000  4 S 2.69-2.91
S 0.1250 0.1418 0.9546  1 B 1.69

Output
- energy (eV/atom) = -4.87
- crystal system = monoclinic
- total moment (μB per atom) = 0.000
- SG = C2/c, No. 15

(3)
The following is a GGA-PBE calculation of an optimized crystal structure of LiPrMnN2, from Alexandria via LeMat-Bulk.

a = 4.6003 Å, b = 5.9520 Å, c = 4.8726 Å
α = 90.00°, β = 90.00°, γ = 112.73°
Closest atoms and distances in Å follow each position.
Atoms (fractional coordinates):
N 0.8868 0.7736 0.1954  1 Li 1.94, 2 Mn 1.94
Mn 0.2500 0.0000 0.0000  4 N 1.94
Li 0.0000 0.0000 0.5000  2 N 1.94
N 0.1132 0.2264 0.8046  1 Li 1.94, 2 Mn 1.94
Li 0.5000 0.0000 0.5000  2 N 1.94
Pr 0.2500 0.5000 0.2354  6 N 2.58-2.75
N 0.3868 0.7736 0.8046  1 Li 1.94, 2 Mn 1.94
Pr 0.7500 0.5000 0.7646  6 N 2.58-2.75
N 0.6132 0.2264 0.1954  1 Li 1.94, 2 Mn 1.94
Mn 0.7500 0.0000 0.0000  4 N 1.94

Output
- energy (eV/atom) = -7.05
- crystal system = orthorhombic
- total moment (μB per atom) = 0.279
- SG = Cmme, No. 67

(4)
The following is a GGA-PBE calculation of an optimized crystal structure of Tb6Pm2Pr3Ho, from Alexandria via LeMat-Bulk.

a = 6.2628 Å, b = 6.2628 Å, c = 11.9280 Å
α = 95.01°, β = 95.01°, γ = 119.99°
Closest atoms and distances in Å follow each position.
Atoms (fractional coordinates):
Pm 0.6665 0.3335 0.0000  6 Tb 3.58, 3 Pm 3.61-3.62, 3 Ho 3.61-3.62
Pr 0.5000 0.5000 0.5000  6 Pr 3.62, 6 Tb 3.63
Tb 0.2500 0.2500 0.7524  1 Ho 3.58, 2 Pm 3.58, 6 Tb 3.61-3.62, 3 Pr 3.63
Pr 0.8333 0.1667 0.5000  6 Pr 3.62, 6 Tb 3.63
Tb 0.0826 0.4153 0.2473  1 Ho 3.58, 2 Pm 3.58, 6 Tb 3.61-3.62, 3 Pr 3.63
Tb 0.9174 0.5847 0.7527  1 Ho 3.58, 2 Pm 3.58, 6 Tb 3.61-3.62, 3 Pr 3.63
Pr 0.1667 0.8333 0.5000  6 Pr 3.62, 6 Tb 3.63
Ho 0.0000 0.0000 0.0000  6 Tb 3.58, 6 Pm 3.61-3.62
Tb 0.5847 0.9174 0.7527  1 Ho 3.58, 2 Pm 3.58, 6 Tb 3.61-3.62, 3 Pr 3.63
Tb 0.7500 0.7500 0.2476  1 Ho 3.58, 2 Pm 3.58, 6 Tb 3.61-3.62, 3 Pr 3.63
Pm 0.3335 0.6665 0.0000  6 Tb 3.58, 3 Pm 3.61-3.62, 3 Ho 3.61-3.62
Tb 0.4153 0.0826 0.2473  1 Ho 3.58, 2 Pm 3.58, 6 Tb 3.61-3.62, 3 Pr 3.63

Output
- energy relative to the elements (eV per atom) = 0.014
- energy (eV/atom) = -4.67
- crystal system = monoclinic
- total moment (μB per atom) = 0.000
- SG = C2/m, No. 12

(5)
The following is a GGA-PBE calculation of an optimized crystal structure of PrGaPdPb, from Alexandria via LeMat-Bulk.

a = 5.0736 Å, b = 5.0736 Å, c = 5.0736 Å
α = 60.00°, β = 60.00°, γ = 60.00°
Closest atoms and distances in Å follow each position.
Atoms (fractional coordinates):
Pd 0.5000 0.5000 0.5000  4 Pr 3.11, 4 Pb 3.11
Ga 0.0000 0.0000 0.0000  4 Pb 3.11, 4 Pr 3.11
Pb 0.2500 0.2500 0.2500  4 Pd 3.11, 4 Ga 3.11
Pr 0.7500 0.7500 0.7500  4 Pd 3.11, 4 Ga 3.11

Output
- energy relative to the elements (eV per atom) = -0.505
- energy (eV/atom) = -4.68
- crystal system = cubic
- total moment (μB per atom) = 0.000
- SG = F-43m, No. 216

(6)
The following is a GGA-PBE calculation of an optimized crystal structure of TiCuS4, from Alexandria via LeMat-Bulk.

a = 3.4471 Å, b = 5.9219 Å, c = 5.9219 Å
α = 98.28°, β = 90.00°, γ = 90.00°
Closest atoms and distances in Å follow each position.
Atoms (fractional coordinates):
S 0.0000 0.1863 0.1863  2 Cu 2.25, 1 Ti 2.43
S 0.5000 0.3182 0.6818  2 Ti 2.37
S 0.0000 0.8137 0.8137  2 Cu 2.25, 1 Ti 2.43
Ti 0.0000 0.5000 0.5000  6 S 2.37-2.43
S 0.5000 0.6818 0.3182  2 Ti 2.37
Cu 0.5000 0.0000 0.0000  4 S 2.25

Output
- energy (eV/atom) = -5.14
- crystal system = orthorhombic
- total moment (μB per atom) = 0.000
- ΔE to the lowest computed polymorph (kJ/mol of formula units) = 0
- SG = Cmmm, No. 65

(7)
The following is a GGA-PBE calculation of an optimized crystal structure of LiAc2Be, from Alexandria via LeMat-Bulk.

a = 3.7104 Å, b = 3.7104 Å, c = 12.1196 Å
α = 81.19°, β = 81.19°, γ = 60.00°
Closest atoms and distances in Å follow each position.
Atoms (fractional coordinates):
Ac 0.0864 0.0864 0.7407  1 Be 3.09
Li 0.5000 0.5000 0.5000  6 Ac 3.58, 6 Li 3.71
Ac 0.9136 0.9136 0.2593  1 Be 3.09
Be 0.0000 0.0000 0.0000  2 Ac 3.09

Output
- energy relative to the elements (eV per atom) = 0.869
- energy (eV/atom) = -2.59
- crystal system = trigonal
- total moment (μB per atom) = 0.138
- ΔE to the lowest computed polymorph (kJ/mol of formula units) = 265
- SG = R-3m, No. 166

(8)
The following is a GGA-PBE calculation of an optimized crystal structure of Os2W, from Alexandria via LeMat-Bulk.

a = 2.7813 Å, b = 5.2452 Å, c = 6.5566 Å
α = 76.30°, β = 90.00°, γ = 74.63°
Closest atoms and distances in Å follow each position.
Atoms (fractional coordinates):
Os 0.6667 0.6665 0.3362  5 W 2.71-2.77, 7 Os 2.73-2.80
W 0.9474 0.1053 0.3899  8 Os 2.71-2.77, 4 W 2.78-2.83
Os 0.6102 0.7797 0.7231  8 Os 2.71-2.78, 4 W 2.75-2.77
W 0.2749 0.4503 0.0512  8 Os 2.69-2.78, 4 W 2.78-2.83
Os 0.3321 0.3358 0.6684  3 W 2.71-2.77, 9 Os 2.74-2.78
Os 0.0021 0.9958 0.9978  4 W 2.69-2.78, 8 Os 2.71-2.80

Output
- energy relative to the elements (eV per atom) = 0.003
- energy (eV/atom) = -11.80
- crystal system = monoclinic
- total moment (μB per atom) = 0.000
- ΔE to the lowest computed polymorph (kJ/mol of formula units) = 1
- SG = Cm, No. 8

(9)
The following is a GGA-PBE calculation of an optimized crystal structure of PrLuInRu, from Alexandria via LeMat-Bulk.

a = 5.1197 Å, b = 5.1197 Å, c = 5.1197 Å
α = 60.00°, β = 60.00°, γ = 60.00°
Closest atoms and distances in Å follow each position.
Atoms (fractional coordinates):
Ru 0.2500 0.2500 0.2500  4 Pr 3.14, 4 Lu 3.14
Pr 0.5000 0.5000 0.5000  4 In 3.14, 4 Ru 3.14
In 0.7500 0.7500 0.7500  4 Lu 3.14, 4 Pr 3.14
Lu 0.0000 0.0000 0.0000  4 Ru 3.14, 4 In 3.14

Output
- energy relative to the elements (eV per atom) = -0.252
- energy (eV/atom) = -5.58
- crystal system = cubic
- total moment (μB per atom) = 0.000
- SG = F-43m, No. 216

(10)
The following is a GGA-PBE calculation of an optimized crystal structure of MgCdSn, from Alexandria via LeMat-Bulk.

a = 5.4978 Å, b = 6.5279 Å, c = 5.4980 Å
α = 75.22°, β = 130.71°, γ = 104.78°
Closest atoms and distances in Å follow each position.
Atoms (fractional coordinates):
Mg 0.1977 0.1225 0.2208  6 Sn 3.17-3.31, 4 Cd 3.26-3.28, 2 Mg 3.33
Cd 0.1927 0.6210 0.2259  3 Cd 3.15-3.23, 5 Mg 3.17-3.27, 4 Sn 3.21-3.25
Mg 0.5230 0.7806 0.8955  5 Sn 3.17-3.28, 5 Cd 3.17-3.22, 2 Mg 3.33
Sn 0.5342 0.2870 0.8844  5 Mg 3.17-3.28, 5 Cd 3.18-3.25, 2 Sn 3.37
Sn 0.8533 0.9407 0.5652  6 Mg 3.17-3.31, 4 Cd 3.19-3.34, 2 Sn 3.37
Cd 0.8651 0.4570 0.5535  3 Cd 3.15-3.23, 5 Sn 3.18-3.34, 4 Mg 3.22-3.28

Output
- energy relative to the elements (eV per atom) = -0.032
- energy (eV/atom) = -2.20
- crystal system = monoclinic
- total moment (μB per atom) = 0.000
- SG = Cm, No. 8

(11)
The following is a GGA-PBE calculation of an optimized crystal structure of NaTl2Hg7Au2, from Alexandria via LeMat-Bulk.

a = 5.4732 Å, b = 5.4732 Å, c = 12.2673 Å
α = 95.75°, β = 95.75°, γ = 92.19°
Closest atoms and distances in Å follow each position.
Atoms (fractional coordinates):
Tl 0.1309 0.1309 0.6332  6 Hg 3.13-3.45
Au 0.6805 0.6805 0.8134  6 Hg 2.76-2.93, 1 Na 3.09
Hg 0.1723 0.6633 0.7825  2 Au 2.76-2.77
Na 0.0000 0.0000 0.0000  2 Au 3.09, 4 Hg 3.33
Hg 0.6724 0.6724 0.5739  1 Au 2.93, 1 Hg 2.96, 1 Tl 3.13
Hg 0.6633 0.1723 0.7825  2 Au 2.76-2.77
Hg 0.5000 0.5000 0.0000  2 Au 2.83
Hg 0.3276 0.3276 0.4261  1 Au 2.93, 1 Hg 2.96, 1 Tl 3.13
Tl 0.8691 0.8691 0.3668  6 Hg 3.13-3.45
Hg 0.3367 0.8277 0.2175  2 Au 2.76-2.77
Hg 0.8277 0.3367 0.2175  2 Au 2.76-2.77
Au 0.3195 0.3195 0.1866  6 Hg 2.76-2.93, 1 Na 3.09

Output
- energy relative to the elements (eV per atom) = -0.005
- energy (eV/atom) = -1.23
- crystal system = monoclinic
- total moment (μB per atom) = 0.000
- SG = C2/m, No. 12

(12)
The following is a GGA-PBE calculation of an optimized crystal structure of Pu2P2Pd, from Alexandria via LeMat-Bulk.

a = 5.5898 Å, b = 6.8305 Å, c = 7.1118 Å
α = 118.70°, β = 113.14°, γ = 90.00°
Closest atoms and distances in Å follow each position.
Atoms (fractional coordinates):
Pu 0.3649 0.0320 0.7298  5 P 2.81-2.88, 2 Pd 3.07
Pd 0.7500 0.5000 0.0000  4 P 2.58, 2 Pd 2.79
Pu 0.6351 0.9680 0.2702  5 P 2.81-2.88, 2 Pd 3.07
P 0.3812 0.6335 0.7625  2 Pd 2.58, 5 Pu 2.81-2.88
P 0.8812 0.1290 0.7625  2 Pd 2.58, 5 Pu 2.81-2.88
P 0.6188 0.3665 0.2375  2 Pd 2.58, 5 Pu 2.81-2.88
Pu 0.1351 0.3022 0.2702  5 P 2.81-2.88, 2 Pd 3.07
Pd 0.2500 0.5000 0.0000  4 P 2.58, 2 Pd 2.79
P 0.1188 0.8710 0.2375  2 Pd 2.58, 5 Pu 2.81-2.88
Pu 0.8649 0.6978 0.7298  5 P 2.81-2.88, 2 Pd 3.07

Output
- energy relative to the elements (eV per atom) = -0.849
- energy (eV/atom) = -9.78
- crystal system = orthorhombic
- total moment (μB per atom) = 2.005
- ΔE to the lowest computed polymorph (kJ/mol of formula units) = 22
- SG = Ibam, No. 72

(13)
The following is a GGA-PBE calculation of an optimized crystal structure of Cs2KSrH, from Alexandria via LeMat-Bulk.

a = 7.6552 Å, b = 7.6552 Å, c = 5.1194 Å
α = 90.00°, β = 90.00°, γ = 90.00°
Closest atoms and distances in Å follow each position.
Atoms (fractional coordinates):
Cs 0.5000 0.0000 0.0000  2 H 3.83
K 0.5000 0.5000 0.5000  8 Cs 4.60, 2 K 5.12
Sr 0.0000 0.0000 0.5000  2 H 2.56
H 0.0000 0.0000 0.0000  2 Sr 2.56
Cs 0.0000 0.5000 0.0000  2 H 3.83

Output
- energy (eV/atom) = -1.54
- crystal system = tetragonal
- total moment (μB per atom) = 0.000
- SG = P4/mmm, No. 123

(14)
The following is a GGA-PBE calculation of an optimized crystal structure of Tm2PaTc3, from Alexandria via LeMat-Bulk.

a = 4.8554 Å, b = 7.5397 Å, c = 6.8473 Å
α = 91.36°, β = 85.96°, γ = 71.59°
Closest atoms and distances in Å follow each position.
Atoms (fractional coordinates):
Pa 0.3364 0.3257 0.0031  5 Tc 2.65-2.95
Tm 0.0000 0.0000 0.0000  8 Tc 2.81-3.03
Tc 0.1351 0.6598 0.7700  2 Pa 2.65-2.95, 2 Tm 2.84-2.92
Tc 0.5107 0.9804 0.2318  1 Pa 2.65, 3 Tm 2.81-2.95
Tc 0.4893 0.0196 0.7682  1 Pa 2.65, 3 Tm 2.81-2.95
Tm 0.6636 0.6692 0.4993  8 Tc 2.92-3.09
Tm 0.3364 0.3308 0.5007  8 Tc 2.92-3.09
Pa 0.6636 0.6743 0.9969  5 Tc 2.65-2.95
Tc 0.7943 0.3543 0.7768  2 Pa 2.69
Tm 0.0000 0.0000 0.5000  8 Tc 2.94-3.14
Tc 0.2057 0.6457 0.2232  2 Pa 2.69
Tc 0.8649 0.3402 0.2300  2 Pa 2.65-2.95, 2 Tm 2.84-2.92

Output
- energy relative to the elements (eV per atom) = -0.218
- energy (eV/atom) = -8.47
- crystal system = triclinic
- total moment (μB per atom) = 0.000
- SG = P-1, No. 2

(15)
The following is a GGA-PBE calculation of an optimized crystal structure of YMgPb2, from Alexandria via LeMat-Bulk.

a = 8.2616 Å, b = 8.2616 Å, c = 6.7387 Å
α = 52.19°, β = 52.19°, γ = 90.00°
Closest atoms and distances in Å follow each position.
Atoms (fractional coordinates):
Pb 0.3750 0.4011 0.7500  2 Mg 2.90, 2 Y 3.19
Pb 0.1511 0.6250 0.2500  2 Mg 2.90, 2 Y 3.19
Y 0.0000 0.0000 0.0000  4 Pb 3.19, 2 Mg 3.36
Mg 0.5000 0.5000 0.0000  4 Pb 2.90
Y 0.7500 0.2500 0.5000  4 Pb 3.19, 2 Mg 3.36
Mg 0.2500 0.7500 0.5000  4 Pb 2.90
Pb 0.8750 0.8489 0.7500  2 Mg 2.90, 2 Y 3.19
Pb 0.5989 0.1250 0.2500  2 Mg 2.90, 2 Y 3.19

Output
- energy relative to the elements (eV per atom) = -0.112
- energy (eV/atom) = -3.98
- crystal system = tetragonal
- total moment (μB per atom) = 0.000
- SG = I-42d, No. 122

(16)
The following is a GGA-PBE calculation of an optimized crystal structure of LiBeV, from Alexandria via LeMat-Bulk.

a = 2.6326 Å, b = 2.6326 Å, c = 11.3459 Å
α = 90.00°, β = 90.00°, γ = 90.00°
Closest atoms and distances in Å follow each position.
Atoms (fractional coordinates):
V 0.5000 0.0000 0.0881  8 V 2.63-2.73
Li 0.0000 0.5000 0.3017  4 Be 2.61, 4 Li 2.63
Be 0.5000 0.5000 0.5000  4 Be 1.86
Be 0.0000 0.0000 0.5000  4 Be 1.86
V 0.0000 0.5000 0.9119  8 V 2.63-2.73
Li 0.5000 0.0000 0.6983  4 Be 2.61, 4 Li 2.63

Output
- energy relative to the elements (eV per atom) = 0.410
- energy (eV/atom) = -4.51
- crystal system = tetragonal
- total moment (μB per atom) = 0.000
- ΔE to the lowest computed polymorph (kJ/mol of formula units) = 78
- SG = P4/nmm, No. 129

(17)
The following is a GGA-PBE calculation of an optimized crystal structure of TcNi4, from Alexandria via LeMat-Bulk.

a = 4.0864 Å, b = 4.2559 Å, c = 7.4141 Å
α = 90.00°, β = 90.00°, γ = 90.00°
Closest atoms and distances in Å follow each position.
Atoms (fractional coordinates):
Tc 0.0000 0.5000 0.5000  10 Ni 2.41-2.50
Ni 0.5000 0.8248 0.1567  2 Tc 2.47, 7 Ni 2.50-2.76
Ni 0.0000 0.9880 0.3357  3 Tc 2.41-2.50, 7 Ni 2.44-2.53
Ni 0.0000 0.0120 0.6643  3 Tc 2.41-2.50, 7 Ni 2.44-2.53
Ni 0.5000 0.3248 0.3433  2 Tc 2.47, 7 Ni 2.50-2.76
Tc 0.0000 0.0000 0.0000  10 Ni 2.41-2.50
Ni 0.0000 0.5120 0.8357  3 Tc 2.41-2.50, 7 Ni 2.44-2.53
Ni 0.5000 0.1752 0.8433  2 Tc 2.47, 7 Ni 2.50-2.76
Ni 0.0000 0.4880 0.1643  3 Tc 2.41-2.50, 7 Ni 2.44-2.53
Ni 0.5000 0.6752 0.6567  2 Tc 2.47, 7 Ni 2.50-2.76

Output
- energy relative to the elements (eV per atom) = 0.353
- energy (eV/atom) = -6.35
- crystal system = orthorhombic
- total moment (μB per atom) = 0.000
- ΔE to the lowest computed polymorph (kJ/mol of formula units) = 181
- SG = Pbam, No. 55

(18)
The following is a GGA-PBE calculation of an optimized crystal structure of InWAu2, from Alexandria via LeMat-Bulk.

a = 4.2422 Å, b = 4.1410 Å, c = 4.1410 Å
α = 90.00°, β = 90.00°, γ = 90.00°
Closest atoms and distances in Å follow each position.
Atoms (fractional coordinates):
Au 0.0000 0.5000 0.5000  4 Au 2.93, 4 W 2.96, 4 In 2.96
In 0.5000 0.5000 0.0000  4 W 2.93, 8 Au 2.96
W 0.5000 0.0000 0.5000  4 In 2.93, 8 Au 2.96
Au 0.0000 0.0000 0.0000  4 Au 2.93, 4 In 2.96, 4 W 2.96

Output
- energy relative to the elements (eV per atom) = 0.423
- energy (eV/atom) = -5.14
- crystal system = tetragonal
- total moment (μB per atom) = 0.000
- SG = P4/mmm, No. 123